1.
# LiTmLuPd | Alexandria | PBE-GGA | optimized geometry
data_LiTmLuPd
_cell_length_a 4.9350
_cell_length_b 4.9350
_cell_length_c 4.9350
_cell_angle_alpha 60.00
_cell_angle_beta 60.00
_cell_angle_gamma 60.00
_space_group_name_H-M_alt 'P 1'
_space_group_IT_number 1
_space_group_name_Hall 'P 1'
loop_
_atom_site_label
_atom_site_type_symbol
_atom_site_fract_x
_atom_site_fract_y
_atom_site_fract_z
Li1 Li 0.0000 0.0000 0.0000
Tm1 Tm 0.2500 0.2500 0.2500
Lu1 Lu 0.7500 0.7500 0.7500
Pd1 Pd 0.5000 0.5000 0.5000
# E_form ... -0.46 eV/atom
# Space group ... No. 216
# Volume ... 21.2 A^3/atom



2.
# FeTe | Alexandria | PBE-GGA | optimized geometry
data_FeTe
_cell_length_a 9.9972
_cell_length_b 9.9972
_cell_length_c 3.7612
_cell_angle_alpha 90.00
_cell_angle_beta 90.00
_cell_angle_gamma 120.00
_space_group_name_H-M_alt 'P 1'
_space_group_IT_number 1
_space_group_name_Hall 'P 1'
loop_
_atom_site_label
_atom_site_type_symbol
_atom_site_fract_x
_atom_site_fract_y
_atom_site_fract_z
Fe1 Fe 0.0316 0.4405 0.2500
Fe2 Fe 0.4090 0.9684 0.2500
Fe3 Fe 0.4405 0.4090 0.7500
Fe4 Fe 0.5595 0.5910 0.2500
Fe5 Fe 0.5910 0.0316 0.7500
Fe6 Fe 0.9684 0.5595 0.7500
Te1 Te 0.1383 0.7310 0.2500
Te2 Te 0.2690 0.4073 0.2500
Te3 Te 0.4073 0.1383 0.7500
Te4 Te 0.5927 0.8617 0.2500
Te5 Te 0.7310 0.5927 0.7500
Te6 Te 0.8617 0.2690 0.7500
# ΔE_f (raw) ... 0.157 eV/atom
# Space group ... No. 176
# Volume ... 27.1 A^3/atom



3.
# Th2Ga3Ni12Au | Alexandria | PBE-GGA | optimized geometry
data_Th2Ga3Ni12Au
_cell_length_a 6.4403
_cell_length_b 6.4403
_cell_length_c 6.4403
_cell_angle_alpha 84.07
_cell_angle_beta 84.07
_cell_angle_gamma 84.07
_space_group_name_H-M_alt 'P 1'
_space_group_IT_number 1
_space_group_name_Hall 'P 1'
loop_
_atom_site_label
_atom_site_type_symbol
_atom_site_fract_x
_atom_site_fract_y
_atom_site_fract_z
Th1 Th 0.1610 0.1610 0.1610
Th2 Th 0.8390 0.8390 0.8390
Ga1 Ga 0.0000 0.5000 0.5000
Ga2 Ga 0.5000 0.0000 0.5000
Ga3 Ga 0.5000 0.5000 0.0000
Ni1 Ni 0.1051 0.1051 0.6085
Ni2 Ni 0.1051 0.6085 0.1051
Ni3 Ni 0.2021 0.6991 0.6991
Ni4 Ni 0.3009 0.3009 0.7979
Ni5 Ni 0.3009 0.7979 0.3009
Ni6 Ni 0.3915 0.8949 0.8949
Ni7 Ni 0.6085 0.1051 0.1051
Ni8 Ni 0.6991 0.2021 0.6991
Ni9 Ni 0.6991 0.6991 0.2021
Ni10 Ni 0.7979 0.3009 0.3009
Ni11 Ni 0.8949 0.3915 0.8949
Ni12 Ni 0.8949 0.8949 0.3915
Au1 Au 0.5000 0.5000 0.5000
# E_form ... -0.12 eV/atom
# Space group ... No. 166
# Volume ... 14.6 A^3/atom